# HfMnPb2O6 PBE with a Hubbard U relaxed
data_HfMnPb2O6
_chemical_formula_sum 'Hf2 Mn2 Pb4 O12'
_cell_length_a 5.688
_cell_length_b 5.666
_cell_length_c 9.806
_cell_angle_alpha 90.00
_cell_angle_beta 125.32
_cell_angle_gamma 90.00
_symmetry_space_group_name_H-M 'P 1'
_symmetry_Int_Tables_number 1
_symmetry_space_group_name_Hall 'P 1'
loop_
_atom_site_label
_atom_site_type_symbol
_atom_site_fract_x
_atom_site_fract_y
_atom_site_fract_z
_atom_site_occupancy
Hf1 Hf 0.000 0.000 0.000 1
Hf2 Hf 0.000 0.500 0.500 1
Mn1 Mn 0.500 0.000 0.500 1
Mn2 Mn 0.500 0.500 0.000 1
Pb1 Pb 0.254 0.001 0.751 1
Pb2 Pb 0.254 0.499 0.251 1
Pb3 Pb 0.746 0.501 0.749 1
Pb4 Pb 0.746 0.999 0.249 1
O1 O 0.221 0.000 0.259 1
O2 O 0.221 0.500 0.759 1
O3 O 0.277 0.739 0.020 1
O4 O 0.277 0.761 0.520 1
O5 O 0.282 0.244 0.520 1
O6 O 0.282 0.256 0.020 1
O7 O 0.718 0.744 0.980 1
O8 O 0.718 0.756 0.480 1
O9 O 0.723 0.239 0.480 1
O10 O 0.723 0.261 0.980 1
O11 O 0.779 0.000 0.741 1
O12 O 0.779 0.500 0.241 1
# - DFT total energy (eV per atom) = -7.344
# - space group = P2_1/c (14)